Entry 1:
This record from the Alexandria database describes a geometry-optimized Ce3SbPb2 structure. The functional is GGA-PBE.

* magnetization: 0.21 μB/atom
* crystal system: orthorhombic
* electronic total energy: -5.4313 eV per atom
* formation energy without anion corrections: -0.541 eV per atom
* density of states at the Fermi level: 13.0 states/eV/cell

a b c (Å): 7.868 7.868 7.868
angles (deg): 146.61 131.92 59.79
Sites, in units of the cell vectors:
Ce 0.000 0.000 0.000
Ce 0.336 0.336 0.000
Ce 0.664 0.664 0.000
Sb 0.500 0.000 0.500
Pb 0.167 0.667 0.500
Pb 0.833 0.333 0.500


Entry 2:
This record from the Alexandria database describes a geometry-optimized Ce8Sb5Pb structure. The functional is GGA-PBE.

* magnetization: 0.84 μB/atom
* crystal system: tetragonal
* electronic total energy: -5.9544 eV per atom
* formation energy without anion corrections: -0.826 eV per atom
* density of states at the Fermi level: 56.1 states/eV/cell

a b c (Å): 8.228 8.228 8.228
angles (deg): 109.56 109.56 109.29
Sites, in units of the cell vectors:
Ce 0.026 0.125 0.756
Ce 0.231 0.478 0.602
Ce 0.369 0.271 0.244
Ce 0.370 0.769 0.246
Ce 0.522 0.124 0.754
Ce 0.729 0.974 0.099
Ce 0.875 0.631 0.901
Ce 0.876 0.630 0.398
Sb 0.128 0.002 0.378
Sb 0.250 0.872 0.874
Sb 0.500 0.500 0.000
Sb 0.624 0.750 0.622
Sb 0.998 0.376 0.126
Pb 0.750 0.250 0.500


Entry 3:
This record from the Alexandria database describes a geometry-optimized CeSb2Pb structure. The functional is GGA-PBE.

* magnetization: 0.12 μB/atom
* E above lowest polymorph: 156.7 meV/atom
* crystal system: cubic
* electronic total energy: -4.8501 eV per atom
* formation energy without anion corrections: -0.378 eV per atom
* density of states at the Fermi level: 5.6 states/eV/cell

a b c (Å): 5.507 5.507 5.507
angles (deg): 60.00 60.00 60.00
Sites, in units of the cell vectors:
Ce 0.000 0.000 0.000
Sb 0.250 0.250 0.250
Sb 0.750 0.750 0.750
Pb 0.500 0.500 0.500


Entry 4:
This record from the Alexandria database describes a geometry-optimized CeSb2Pb structure. The functional is GGA-PBE.

* magnetization: 0.12 μB/atom
* E above lowest polymorph: 5.1 meV/atom
* crystal system: orthorhombic
* electronic total energy: -5.0018 eV per atom
* formation energy without anion corrections: -0.530 eV per atom
* density of states at the Fermi level: 4.6 states/eV/cell

a b c (Å): 5.180 5.180 4.249
angles (deg): 90.00 90.00 96.85
Sites, in units of the cell vectors:
Ce 0.000 0.000 0.000
Sb 0.000 0.500 0.500
Sb 0.500 0.000 0.500
Pb 0.500 0.500 0.000


formation energy without anion corrections of number 1 (Ce3SbPb2)? -0.541 eV per atom